(1)
Density functional theory data (GGA-PBEsol) for Rb2LiS2 after structural relaxation. Values from VASP.

## Properties
- raw total energy (eV per atom) = -3.28
- space-group type = No. 127
- N(E_F) (states/eV per cell) = 1.27

Structure (Quantum ESPRESSO input):
```
&SYSTEM
  ibrav = 0, nat = 10, ntyp = 3
/
ATOMIC_SPECIES
Rb 85.47 Rb.upf
Li 6.94 Li.upf
S 32.06 S.upf
ATOMIC_POSITIONS crystal
Rb 0.500 0.845 0.345
Rb 0.500 0.345 0.155
Rb 0.500 0.155 0.655
Rb 0.500 0.655 0.845
Li 0.000 0.500 0.500
Li 0.000 0.000 0.000
S 0.000 0.350 0.850
S 0.000 0.150 0.350
S 0.000 0.850 0.650
S 0.000 0.650 0.150
CELL_PARAMETERS angstrom
4.917 0.000 0.000
0.000 7.384 0.000
0.000 0.000 7.384
```

***

(2)
Density functional theory data (GGA-PBEsol) for TcAsBr4 after structural relaxation. Values from VASP.

## Properties
- raw total energy (eV per atom) = -2.60
- space-group type = No. 216
- N(E_F) (states/eV per cell) = 6.94

Structure (Quantum ESPRESSO input):
```
&SYSTEM
  ibrav = 0, nat = 6, ntyp = 3
/
ATOMIC_SPECIES
As 74.92 As.upf
Br 79.90 Br.upf
Tc 98.00 Tc.upf
ATOMIC_POSITIONS crystal
As 0.000 0.000 0.000
Br 0.376 0.873 0.376
Br 0.873 0.376 0.376
Br 0.376 0.376 0.376
Br 0.376 0.376 0.873
Tc 0.750 0.750 0.750
CELL_PARAMETERS angstrom
-3.905 4.447 0.535
-4.215 0.764 -4.118
-5.677 -1.173 1.306
```

***

(3)
Density functional theory data (GGA-PBEsol) for KPb3 after structural relaxation. Values from VASP.

## Properties
- formation energy (eV per atom) = -0.059
- space-group type = No. 139
- N(E_F) (states/eV per cell) = 1.71

Structure (Quantum ESPRESSO input):
```
&SYSTEM
  ibrav = 0, nat = 4, ntyp = 2
/
ATOMIC_SPECIES
Pb 207.20 Pb.upf
K 39.10 K.upf
ATOMIC_POSITIONS crystal
Pb 0.500 0.500 0.000
Pb 0.750 0.250 0.500
Pb 0.250 0.750 0.500
K 0.000 0.000 0.000
CELL_PARAMETERS angstrom
4.933 0.000 0.000
0.000 4.933 0.000
-2.466 -2.466 5.002
```

***

(4)
Density functional theory data (GGA-PBEsol) for KCoAsSe2 after structural relaxation. Values from VASP.

## Properties
- raw total energy (eV per atom) = -4.46
- space-group type = No. 123
- N(E_F) (states/eV per cell) = 4.73

Structure (Quantum ESPRESSO input):
```
&SYSTEM
  ibrav = 0, nat = 5, ntyp = 4
/
ATOMIC_SPECIES
As 74.92 As.upf
Co 58.93 Co.upf
K 39.10 K.upf
Se 78.96 Se.upf
ATOMIC_POSITIONS crystal
As 0.500 0.000 0.000
Co 0.000 0.000 0.000
K 0.500 0.500 0.500
Se 0.000 0.500 0.000
Se 0.000 0.000 0.500
CELL_PARAMETERS angstrom
4.352 0.000 0.000
0.000 4.985 0.000
0.000 0.000 4.985
```

***

(5)
Density functional theory data (GGA-PBEsol) for LiCu2Pt after structural relaxation. Values from VASP.

## Properties
- distance to the lowest polymorph of the same formula (eV per atom) = 0.0535
- formation energy (eV per atom) = -0.190
- space-group type = No. 71
- N(E_F) (states/eV per cell) = 1.26

Structure (Quantum ESPRESSO input):
```
&SYSTEM
  ibrav = 0, nat = 4, ntyp = 3
/
ATOMIC_SPECIES
Cu 63.55 Cu.upf
Pt 195.08 Pt.upf
Li 6.94 Li.upf
ATOMIC_POSITIONS crystal
Cu 0.258 0.258 0.516
Cu 0.742 0.742 0.484
Pt 0.500 0.000 0.000
Li 0.000 0.500 0.000
CELL_PARAMETERS angstrom
2.878 0.000 0.000
0.000 4.024 0.000
-1.439 -2.012 4.152
```

***

(6)
Density functional theory data (GGA-PBEsol) for ScInRh2 after structural relaxation. Values from VASP.

## Properties
- formation energy (eV per atom) = -0.333
- space-group type = No. 99
- N(E_F) (states/eV per cell) = 3.71

Structure (Quantum ESPRESSO input):
```
&SYSTEM
  ibrav = 0, nat = 4, ntyp = 3
/
ATOMIC_SPECIES
In 114.82 In.upf
Rh 102.91 Rh.upf
Sc 44.96 Sc.upf
ATOMIC_POSITIONS crystal
In 0.500 0.500 0.783
Rh 0.000 0.000 0.014
Rh 0.500 0.500 0.244
Sc 0.000 0.000 0.460
CELL_PARAMETERS angstrom
-1.277 -2.545 0.865
1.587 0.059 2.516
-5.584 3.968 3.428
```

***

(7)
Density functional theory data (GGA-PBEsol) for MgZr2CoTc after structural relaxation. Values from VASP.

## Properties
- formation energy (eV per atom) = 0.401
- space-group type = No. 123
- N(E_F) (states/eV per cell) = 4.78

Structure (Quantum ESPRESSO input):
```
&SYSTEM
  ibrav = 0, nat = 5, ntyp = 4
/
ATOMIC_SPECIES
Mg 24.30 Mg.upf
Co 58.93 Co.upf
Zr 91.22 Zr.upf
Tc 98.00 Tc.upf
ATOMIC_POSITIONS crystal
Mg 0.500 0.500 0.500
Co 0.000 0.000 0.000
Zr 0.000 0.500 0.000
Zr 0.000 0.000 0.500
Tc 0.500 0.000 0.000
CELL_PARAMETERS angstrom
-3.967 -1.551 0.959
2.000 -3.497 2.616
-0.161 2.817 3.888
```

***

(8)
Density functional theory data (GGA-PBEsol) for ZnFeMo2 after structural relaxation. Values from VASP.

## Properties
- formation energy (eV per atom) = 0.198
- space-group type = No. 44
- N(E_F) (states/eV per cell) = 3.53

Structure (Quantum ESPRESSO input):
```
&SYSTEM
  ibrav = 0, nat = 4, ntyp = 3
/
ATOMIC_SPECIES
Mo 95.94 Mo.upf
Zn 65.41 Zn.upf
Fe 55.84 Fe.upf
ATOMIC_POSITIONS crystal
Mo 0.993 0.993 0.985
Mo 0.739 0.239 0.478
Zn 0.511 0.511 0.022
Fe 0.257 0.757 0.515
CELL_PARAMETERS angstrom
-1.264 1.388 2.554
-3.495 -2.380 -0.437
4.038 -2.377 1.324
```

***

(9)
Density functional theory data (GGA-PBEsol) for BaScTl2 after structural relaxation. Values from VASP.

## Properties
- formation energy (eV per atom) = -0.372
- space-group type = No. 123
- N(E_F) (states/eV per cell) = 3.33

Structure (Quantum ESPRESSO input):
```
&SYSTEM
  ibrav = 0, nat = 4, ntyp = 3
/
ATOMIC_SPECIES
Ba 137.33 Ba.upf
Tl 204.38 Tl.upf
Sc 44.96 Sc.upf
ATOMIC_POSITIONS crystal
Ba 0.500 0.500 0.000
Tl 0.000 0.000 0.700
Tl 0.000 0.000 0.300
Sc 0.500 0.500 0.500
CELL_PARAMETERS angstrom
3.776 0.000 0.000
0.000 3.776 0.000
0.000 0.000 8.006
```

***

(10)
Density functional theory data (GGA-PBEsol) for BaSrI4 after structural relaxation. Values from VASP.

## Properties
- raw total energy (eV per atom) = -3.55
- space-group type = No. 141
- N(E_F) (states/eV per cell) = 0.00

Structure (Quantum ESPRESSO input):
```
&SYSTEM
  ibrav = 0, nat = 12, ntyp = 3
/
ATOMIC_SPECIES
Ba 137.33 Ba.upf
Sr 87.62 Sr.upf
I 126.90 I.upf
ATOMIC_POSITIONS crystal
Ba 0.000 0.000 0.000
Ba 0.250 0.750 0.500
Sr 0.500 0.500 0.000
Sr 0.750 0.250 0.500
I 0.867 0.375 0.250
I 0.384 0.875 0.250
I 0.125 0.617 0.750
I 0.125 0.133 0.750
I 0.866 0.875 0.250
I 0.383 0.375 0.250
I 0.625 0.134 0.750
I 0.625 0.616 0.750
CELL_PARAMETERS angstrom
-1.004 7.280 -3.305
-7.292 -2.200 -2.631
0.878 0.116 9.811
```

***

(11)
Density functional theory data (GGA-PBEsol) for BeSbTe2P after structural relaxation. Values from VASP.

## Properties
- raw total energy (eV per atom) = -3.33
- space-group type = No. 123
- N(E_F) (states/eV per cell) = 4.59

Structure (Quantum ESPRESSO input):
```
&SYSTEM
  ibrav = 0, nat = 5, ntyp = 4
/
ATOMIC_SPECIES
Te 127.60 Te.upf
Sb 121.76 Sb.upf
P 30.97 P.upf
Be 9.01 Be.upf
ATOMIC_POSITIONS crystal
Te 0.000 0.000 0.500
Te 0.000 0.500 0.000
Sb 0.500 0.000 0.000
P 0.000 0.000 0.000
Be 0.500 0.500 0.500
CELL_PARAMETERS angstrom
5.209 0.000 0.000
0.000 5.081 0.000
0.000 0.000 5.081
```

***

(12)
Density functional theory data (GGA-PBEsol) for SrV2P2O10 after structural relaxation. Values from VASP.

## Properties
- raw total energy (eV per atom) = -8.16
- space-group type = No. 43
- N(E_F) (states/eV per cell) = 1.29

Structure (Quantum ESPRESSO input):
```
&SYSTEM
  ibrav = 0, nat = 30, ntyp = 4
/
ATOMIC_SPECIES
O 16.00 O.upf
V 50.94 V.upf
Sr 87.62 Sr.upf
P 30.97 P.upf
ATOMIC_POSITIONS crystal
O 0.406 0.118 0.032
O 0.696 0.668 0.694
O 0.337 0.315 0.301
O 0.087 0.374 0.968
O 0.677 0.174 0.331
O 0.854 0.647 0.464
O 0.368 0.156 0.532
O 0.286 0.764 0.199
O 0.424 0.427 0.831
O 0.183 0.391 0.536
O 0.014 0.036 0.699
O 0.897 0.604 0.964
O 0.843 0.346 0.669
O 0.596 0.593 0.169
O 0.624 0.837 0.468
O 0.918 0.446 0.194
O 0.565 0.087 0.801
O 0.252 0.724 0.806
O 0.641 0.933 0.036
O 0.974 0.002 0.306
V 0.626 0.404 0.237
V 0.639 0.917 0.263
V 0.167 0.389 0.763
V 0.654 0.376 0.737
Sr 0.253 0.753 0.500
Sr 0.003 0.003 0.000
P 0.048 0.548 0.081
P 0.217 0.217 0.419
P 0.467 0.967 0.919
P 0.798 0.798 0.581
CELL_PARAMETERS angstrom
6.957 -0.025 0.000
-3.187 6.184 0.000
-1.885 -3.079 7.969
```